# 1
Material: Sm3Zn3Cu2
Method: DFT, GGA-PBE
State: relaxed

Cell lengths 4.4967, 10.0217, 14.9967 Å; angles 90.00, 90.00, 90.00 degrees
Closest atoms and distances in Å follow each position.
Space group Cmcm (No. 63)
Symmetry-distinct sites (fractional):
Sm1 0.0000 0.0952 0.1053 x8  4 Cu 2.97-3.25, 7 Zn 3.05-3.24
Sm2 0.0000 0.3848 0.2500 x4  5 Zn 2.96-3.14, 4 Cu 3.30
Zn1 0.0000 0.3197 0.7500 x4  2 Cu 2.55
Zn2 0.0000 0.3833 0.0404 x8  3 Cu 2.56-2.78, 1 Zn 2.63
Cu1 0.0000 0.2007 0.5996 x8  4 Zn 2.55-2.78

Properties
The crystal system is orthorhombic. The calculated total energy is -3.56 eV/atom. The value obtained for the energy relative to the elements is -0.29 eV per atom.

# 2
Material: NaCd2Os
Method: DFT, GGA-PBE
State: relaxed

Cell lengths 6.7099, 6.7099, 6.7099 Å; angles 90.00, 90.00, 90.00 degrees
Closest atoms and distances in Å follow each position.
Space group Fm-3m (No. 225)
Symmetry-distinct sites (fractional):
Na1 0.0000 0.0000 0.0000 x4  8 Cd 2.91
Cd1 0.2500 0.2500 0.2500 x8  4 Os 2.91, 4 Na 2.91
Os1 0.0000 0.0000 0.5000 x4  8 Cd 2.91

Properties
The crystal system is cubic. The calculated total energy is -3.04 eV/atom. The value obtained for the energy relative to the elements is 0.55 eV per atom.

# 3
Material: Ce12PuOs6
Method: DFT, GGA-PBE
State: relaxed

Cell lengths 13.0911, 13.0911, 9.7792 Å; angles 90.00, 90.00, 120.00 degrees
Closest atoms and distances in Å follow each position.
Space group R-3m (No. 166, hexagonal axes)
Symmetry-distinct sites (fractional):
Ce1 0.0000 0.3912 0.0000 x18  1 Ce 2.85, 4 Os 2.88-2.94
Ce2 0.0858 0.1715 0.8391 x18  1 Os 2.69
Pu1 0.0000 0.0000 0.5000 x3  6 Ce 3.84
Os1 0.0394 0.5197 0.7408 x18  5 Ce 2.69-2.94

Properties
The crystal system is trigonal. The calculated total energy is -8.03 eV/atom. The value obtained for the energy relative to the elements is 0.01 eV per atom.

# 4
Material: Ba2VIr
Method: DFT, GGA-PBE
State: relaxed

Cell lengths 11.9184, 11.9184, 4.7813 Å; angles 90.00, 90.00, 90.00 degrees
Closest atoms and distances in Å follow each position.
Space group I-42d (No. 122)
Symmetry-distinct sites (fractional):
Ba1 0.0740 0.2500 0.1250 x8  2 Ir 3.16
V1 0.0000 0.0000 0.5000 x4  2 Ir 2.39
Ir1 0.0000 0.0000 0.0000 x4  2 V 2.39

Properties
The crystal system is tetragonal. The calculated total energy is -5.13 eV/atom. The value obtained for the energy relative to the elements is 0.33 eV per atom.

# 5
Material: Hf5NbSn4
Method: DFT, GGA-PBE
State: relaxed

Cell lengths 15.5730, 3.3424, 8.9176 Å; angles 90.00, 94.51, 90.00 degrees
Closest atoms and distances in Å follow each position.
Space group C2/m (No. 12)
Symmetry-distinct sites (fractional):
Hf1 0.0000 0.0000 0.0000 x2  4 Sn 2.85
Hf2 0.1578 0.5000 0.7372 x4  2 Sn 2.93-3.02, 3 Hf 3.15-3.20
Hf3 0.1927 0.5000 0.0952 x4  3 Sn 3.02-3.38, 7 Hf 3.06-3.34
Nb1 0.0000 0.0000 0.5000 x2  6 Sn 2.79-2.91
Sn1 0.0298 0.5000 0.2583 x4  2 Nb 2.79, 4 Hf 2.85-3.02, 2 Sn 3.11
Sn2 0.1776 0.0000 0.4213 x4  1 Nb 2.91, 1 Hf 3.02, 4 Sn 3.06-3.11

Properties
The crystal system is monoclinic. The calculated total energy is -7.53 eV/atom. The value obtained for the energy relative to the elements is 0.06 eV per atom.

# 6
Material: Tb2Dy6Tm3Pb
Method: DFT, GGA-PBE
State: relaxed

Cell lengths 6.0625, 10.5060, 11.6499 Å; angles 90.00, 100.01, 90.00 degrees
Closest atoms and distances in Å follow each position.
Space group C2/m (No. 12)
Symmetry-distinct sites (fractional):
Tb1 0.0000 0.1660 0.0000 x4  3 Tb 3.49-3.51, 3 Pb 3.50-3.51, 6 Dy 3.52-3.53
Dy1 0.2456 0.5000 0.7480 x4  6 Dy 3.46-3.52, 3 Tm 3.49-3.50, 1 Pb 3.51, 2 Tb 3.53
Dy2 0.2479 0.3354 0.2506 x8  6 Dy 3.46-3.52, 3 Tm 3.50-3.51, 1 Pb 3.50, 2 Tb 3.52
Tm1 0.0000 0.0000 0.5000 x2  6 Tm 3.49-3.50, 6 Dy 3.50
Tm2 0.0000 0.3327 0.5000 x4  6 Dy 3.49-3.51, 6 Tm 3.49-3.52
Pb1 0.0000 0.5000 0.0000 x2  6 Tb 3.50-3.51, 6 Dy 3.50-3.51

Properties
The crystal system is monoclinic. The calculated total energy is -4.55 eV/atom. The value obtained for the energy relative to the elements is -0.05 eV per atom.

# 7
Material: Sr2LiAl2
Method: DFT, GGA-PBE
State: relaxed

Cell lengths 9.4490, 9.4490, 3.5639 Å; angles 90.00, 90.00, 90.00 degrees
Closest atoms and distances in Å follow each position.
Space group P4/mbm (No. 127)
Symmetry-distinct sites (fractional):
Sr1 0.1893 0.3107 0.0000 x4  6 Al 3.32-3.38, 2 Li 3.44, 2 Sr 3.56
Li1 0.0000 0.0000 0.0000 x2  4 Sr 3.44, 2 Li 3.56
Al1 0.1011 0.6011 0.5000 x4  1 Al 2.70

Properties
The crystal system is tetragonal. The calculated total energy is -2.45 eV/atom. The value obtained for the energy relative to the elements is 0.10 eV per atom.

# 8
Material: AlBr2Cl
Method: DFT, GGA-PBE
State: relaxed

Cell lengths 3.5718, 13.6265, 8.4259 Å; angles 90.00, 90.00, 90.00 degrees
Closest atoms and distances in Å follow each position.
Space group Cmmm (No. 65)
Symmetry-distinct sites (fractional):
Al1 0.0000 0.0000 0.0000 x2  4 Br 2.49
Br1 0.0000 0.5000 0.2062 x4  2 Al 2.49
Cl1 0.0000 0.0000 0.5000 x2  4 Br 3.05

Properties
The crystal system is orthorhombic. The calculated total energy is -2.59 eV/atom. The calculation puts the formation energy from raw total energies at -0.35 eV per atom.